1.
CoCu7: relaxed, PBE-GGA. Values from VASP.

Total magnetization in μB/f.u.: 0.553
Space group: Fm-3m (225)
DFT formation energy in meV/atom: 87

Geometry as Quantum ESPRESSO input:
```
&SYSTEM
  ibrav = 0, nat = 8, ntyp = 2
/
ATOMIC_SPECIES
Co 58.93 Co.upf
Cu 63.55 Cu.upf
CELL_PARAMETERS angstrom
0.000 3.609 3.609
3.609 0.000 3.609
3.609 3.609 0.000
ATOMIC_POSITIONS crystal
Co 0.000 0.000 0.000
Cu 0.000 0.000 0.500
Cu 0.000 0.500 0.000
Cu 0.000 0.500 0.500
Cu 0.500 0.000 0.000
Cu 0.500 0.000 0.500
Cu 0.500 0.500 0.000
Cu 0.500 0.500 0.500
```

=====

2.
CoCu: relaxed, PBE-GGA. Values from VASP.

Total magnetization in μB/f.u.: 1.680
Space group: Pmmn (59)
DFT formation energy in meV/atom: 129

Geometry as Quantum ESPRESSO input:
```
&SYSTEM
  ibrav = 0, nat = 4, ntyp = 2
/
ATOMIC_SPECIES
Co 58.93 Co.upf
Cu 63.55 Cu.upf
CELL_PARAMETERS angstrom
2.492 0.000 0.000
0.000 4.095 0.000
0.000 0.000 4.487
ATOMIC_POSITIONS crystal
Co 0.250 0.250 0.077
Co 0.750 0.750 0.923
Cu 0.250 0.750 0.417
Cu 0.750 0.250 0.583
```

=====

3.
CoCu2: relaxed, PBE-GGA. Values from VASP.

Total magnetization in μB/f.u.: 1.619
Space group: Cm (8)
DFT formation energy in meV/atom: 129

Geometry as Quantum ESPRESSO input:
```
&SYSTEM
  ibrav = 0, nat = 6, ntyp = 2
/
ATOMIC_SPECIES
Co 58.93 Co.upf
Cu 63.55 Cu.upf
CELL_PARAMETERS angstrom
4.752 -1.262 0.000
4.752 1.262 0.000
-1.711 0.000 5.824
ATOMIC_POSITIONS crystal
Co 0.000 0.000 0.000
Co 0.654 0.654 0.314
Cu 0.049 0.049 0.600
Cu 0.328 0.328 0.656
Cu 0.378 0.378 0.266
Cu 0.717 0.717 0.931
```

=====

4.
Co2Cu: relaxed, PBE-GGA. Values from VASP.

Total magnetization in μB/f.u.: 3.279
Space group: C2/m (12)
DFT formation energy in meV/atom: 108

Geometry as Quantum ESPRESSO input:
```
&SYSTEM
  ibrav = 0, nat = 6, ntyp = 2
/
ATOMIC_SPECIES
Co 58.93 Co.upf
Cu 63.55 Cu.upf
CELL_PARAMETERS angstrom
4.682 -1.263 0.000
4.682 1.263 0.000
-1.539 0.000 5.717
ATOMIC_POSITIONS crystal
Co 0.023 0.023 0.293
Co 0.363 0.363 0.972
Co 0.637 0.637 0.028
Co 0.977 0.977 0.707
Cu 0.307 0.307 0.364
Cu 0.693 0.693 0.636
```

=====

5.
CoCu: relaxed, PBE-GGA. Values from VASP.

Total magnetization in μB/f.u.: 1.702
Space group: Fd-3m (227)
DFT formation energy in meV/atom: 186

Geometry as Quantum ESPRESSO input:
```
&SYSTEM
  ibrav = 0, nat = 4, ntyp = 2
/
ATOMIC_SPECIES
Co 58.93 Co.upf
Cu 63.55 Cu.upf
CELL_PARAMETERS angstrom
0.000 2.845 2.845
2.845 0.000 2.845
2.845 2.845 0.000
ATOMIC_POSITIONS crystal
Co 0.125 0.125 0.125
Co 0.875 0.875 0.875
Cu 0.375 0.375 0.375
Cu 0.625 0.625 0.625
```

=====

6.
CoCu2: relaxed, PBE-GGA. Values from VASP.

Total magnetization in μB/f.u.: 1.581
Space group: P-3m1 (164)
DFT formation energy in meV/atom: 98

Geometry as Quantum ESPRESSO input:
```
&SYSTEM
  ibrav = 0, nat = 3, ntyp = 2
/
ATOMIC_SPECIES
Co 58.93 Co.upf
Cu 63.55 Cu.upf
CELL_PARAMETERS angstrom
2.515 0.000 0.000
-1.258 2.178 0.000
0.000 0.000 6.339
ATOMIC_POSITIONS crystal
Co 0.000 0.000 0.000
Cu 0.333 0.667 0.331
Cu 0.667 0.333 0.669
```